Entry from Alexandria via LeMat-Bulk: crystalline AgOsPb2 at its relaxed geometry (PBE).

For the energy above the most stable polymorph in this dataset, the calculation gives 103 kJ/mol of formula units. For the total moment, the calculation gives 0.000 μB per atom. As for the formation energy from the elements: 870 meV per atom. For the theoretical density, the calculation gives 13.54 g cm⁻³. The crystal system is orthorhombic.

Cell: 3.4273 4.5713 5.5790 Å, 90.00 90.00 90.00°
Last column: nearest neighbours and their distance in Å.
Fractional positions:
Ag (0.0000, 0.0000, 0.0000)  4 Pb 2.86
Os (0.5000, 0.0000, 0.5000)  4 Pb 2.86
Pb (0.0000, 0.5000, 0.5000)  4 Os 2.86
Pb (0.5000, 0.5000, 0.0000)  4 Ag 2.86